# 1
This record from Alexandria describes an optimized crystal structure of RbCo2Rh. The functional is PBE.

## Properties
density of states at the Fermi level	1.77	states/eV/atom
magnetization	9.62	Bohr magnetons per cell
uncorrected energy	-18.48	eV/f.u.

a b c (Å): 8.946 8.946 8.946
angles (deg): 148.04 148.04 45.83
Atoms (fractional coordinates):
Rb 0.375 0.625 0.750
Rb 0.625 0.375 0.250
Co 0.000 0.000 0.000
Co 0.000 0.000 0.500
Co 0.000 0.500 0.000
Co 0.500 0.000 0.500
Rh 0.125 0.875 0.250
Rh 0.875 0.125 0.750

# 2
This record from Alexandria describes an optimized crystal structure of CdTc4Hg. The functional is PBE.

## Properties
density of states at the Fermi level	1.11	states/eV/atom
magnetization	0.00	Bohr magnetons per cell
uncorrected energy	-39.30	eV/f.u.

a b c (Å): 5.253 5.253 5.253
angles (deg): 60.00 60.00 60.00
Atoms (fractional coordinates):
Cd 0.000 0.000 0.000
Tc 0.375 0.375 0.375
Tc 0.375 0.375 0.874
Tc 0.375 0.874 0.375
Tc 0.874 0.375 0.375
Hg 0.750 0.750 0.750

# 3
This record from Alexandria describes an optimized crystal structure of Pr2HoAg2. The functional is PBE.

## Properties
density of states at the Fermi level	1.06	states/eV/atom
magnetization	0.00	Bohr magnetons per cell
uncorrected energy	-20.72	eV/f.u.

a b c (Å): 6.630 5.085 8.798
angles (deg): 90.00 108.93 90.00
Atoms (fractional coordinates):
Pr 0.097 0.250 0.371
Pr 0.127 0.250 0.950
Pr 0.873 0.750 0.050
Pr 0.903 0.750 0.629
Ho 0.448 0.750 0.237
Ho 0.552 0.250 0.763
Ag 0.370 0.750 0.887
Ag 0.382 0.750 0.557
Ag 0.618 0.250 0.443
Ag 0.630 0.250 0.113

# 4
This record from Alexandria describes an optimized crystal structure of LaLuTlGa. The functional is PBE.

## Properties
density of states at the Fermi level	0.40	states/eV/atom
magnetization	0.00	Bohr magnetons per cell
uncorrected energy	-16.51	eV/f.u.

a b c (Å): 5.321 5.321 5.321
angles (deg): 60.00 60.00 60.00
Atoms (fractional coordinates):
La 0.000 0.000 0.000
Lu 0.500 0.500 0.500
Tl 0.250 0.250 0.250
Ga 0.750 0.750 0.750

# 5
This record from Alexandria describes an optimized crystal structure of RbNiIN2. The functional is PBE.

## Properties
density of states at the Fermi level	1.61	states/eV/atom
magnetization	6.08	Bohr magnetons per cell
energy relative to the elements, uncorrected	2358	meV per atom

a b c (Å): 4.923 4.923 7.219
angles (deg): 90.00 90.00 90.00
Atoms (fractional coordinates):
Rb 0.000 0.000 0.000
Ni 0.500 0.500 0.500
I 0.000 0.000 0.500
N 0.000 0.500 0.000
N 0.500 0.000 0.000

# 6
This record from Alexandria describes an optimized crystal structure of Zr2TaSeO. The functional is PBE.

## Properties
density of states at the Fermi level	0.59	states/eV/atom
magnetization	0.00	Bohr magnetons per cell
energy relative to the elements, uncorrected	-673	meV per atom

a b c (Å): 4.194 4.194 5.272
angles (deg): 90.00 90.00 90.00
Atoms (fractional coordinates):
Zr 0.000 0.500 0.000
Zr 0.500 0.000 0.000
Ta 0.000 0.000 0.500
Se 0.500 0.500 0.500
O 0.500 0.500 0.000

# 7
This record from Alexandria describes an optimized crystal structure of PaHgBr6. The functional is PBE.

## Properties
density of states at the Fermi level	0.75	states/eV/atom
magnetization	0.00	Bohr magnetons per cell
energy relative to the elements, uncorrected	-1083	meV per atom

a b c (Å): 7.839 7.839 7.839
angles (deg): 55.15 55.15 55.15
Atoms (fractional coordinates):
Pa 0.000 0.000 0.000
Hg 0.500 0.500 0.500
Br 0.068 0.392 0.777
Br 0.223 0.932 0.608
Br 0.392 0.777 0.068
Br 0.608 0.223 0.932
Br 0.777 0.068 0.392
Br 0.932 0.608 0.223

# 8
This record from Alexandria describes an optimized crystal structure of YTl2Pb. The functional is PBE.

## Properties
density of states at the Fermi level	0.92	states/eV/atom
magnetization	0.00	Bohr magnetons per cell
uncorrected energy	-15.03	eV/f.u.

a b c (Å): 3.527 3.527 10.776
angles (deg): 90.00 90.00 116.10
Atoms (fractional coordinates):
Y 0.000 0.000 0.000
Tl 0.500 0.500 0.243
Tl 0.500 0.500 0.757
Pb 0.000 0.000 0.500

# 9
This record from Alexandria describes an optimized crystal structure of Dy8Tc2Au. The functional is PBE.

## Properties
density of states at the Fermi level	1.00	states/eV/atom
magnetization	0.00	Bohr magnetons per cell
uncorrected energy	-62.46	eV/f.u.

a b c (Å): 7.698 7.698 5.764
angles (deg): 99.78 99.78 112.34
Atoms (fractional coordinates):
Dy 0.000 0.000 0.000
Dy 0.043 0.307 0.606
Dy 0.155 0.606 0.200
Dy 0.307 0.043 0.606
Dy 0.453 0.719 0.792
Dy 0.606 0.155 0.200
Dy 0.719 0.453 0.792
Dy 0.750 0.750 0.394
Tc 0.067 0.690 0.695
Tc 0.690 0.067 0.695
Au 0.373 0.373 0.320

# 10
This record from Alexandria describes an optimized crystal structure of ZrTaSe2. The functional is PBE.

## Properties
density of states at the Fermi level	0.61	states/eV/atom
magnetization	0.00	Bohr magnetons per cell
energy relative to the elements, uncorrected	-490	meV per atom

a b c (Å): 8.249 8.249 8.249
angles (deg): 23.19 23.19 23.19
Atoms (fractional coordinates):
Zr 0.000 0.000 0.000
Ta 0.500 0.500 0.500
Se 0.245 0.245 0.245
Se 0.755 0.755 0.755